Material: VSiO3
Method: DFT, GGA+U
State: optimized geometry

## Properties
Its final energy is -7.89 eV per atom.

a = 5.110 Å, b = 6.659 Å, c = 6.659 Å
α = 92.98°, β = 82.08°, γ = 97.92°
Fractional positions:
Si1 0.712 0.208 0.613
Si2 0.788 0.613 0.208
Si3 0.212 0.387 0.792
Si4 0.288 0.792 0.387
O1 0.645 0.394 0.146
O2 0.419 0.296 0.597
O3 0.149 0.220 0.971
O4 0.851 0.780 0.029
O5 0.355 0.606 0.854
O6 0.649 0.029 0.780
O7 0.145 0.854 0.606
O8 0.581 0.704 0.403
O9 0.351 0.971 0.220
O10 0.855 0.146 0.394
O11 0.919 0.403 0.704
O12 0.081 0.597 0.296
V1 0.250 0.282 0.282
V2 0.750 0.718 0.718
V3 0.250 0.906 0.906
V4 0.750 0.094 0.094